This record from the Alexandria database describes a geometry-optimized LiCu2Pt structure. The functional is PBE.

Unit cell a=2.6418 b=2.6418 c=8.6347 alpha=90.00 beta=90.00 gamma=115.84
With the nearest neighbours (Å) after each atom.
Sites, in units of the cell vectors:
Cu1 0.5000 0.5000 0.2453  6 Cu 2.48-2.64, 2 Li 2.60
Cu2 0.0000 0.0000 0.0088  6 Cu 2.48-2.64, 2 Pt 2.66
Li1 0.0000 0.0000 0.4987  2 Pt 2.56, 2 Cu 2.60, 6 Li 2.64-2.81
Pt1 0.5000 0.5000 0.7472  2 Li 2.56, 6 Pt 2.64-2.81, 2 Cu 2.66

Total DFT energy (no corrections) in eV/atom: -4.163
Total magnetic moment in μB/f.u.: 0.00
ΔE to the lowest computed polymorph in eV per formula unit: 0.60
Density of states at the Fermi level in states/eV/atom: 0.602
ΔH_f (0 K) in eV per atom: -0.13


This record from the Alexandria database describes a geometry-optimized GeSb2As structure. The functional is PBE.

Unit cell a=5.0879 b=5.0879 c=5.0879 alpha=60.00 beta=60.00 gamma=60.00
With the nearest neighbours (Å) after each atom.
Sites, in units of the cell vectors:
Ge1 0.0000 0.0000 0.0000  8 Sb 3.12
As1 0.5000 0.5000 0.5000  8 Sb 3.12
Sb1 0.7500 0.7500 0.7500  4 Ge 3.12, 4 As 3.12
Sb2 0.2500 0.2500 0.2500  4 Ge 3.12, 4 As 3.12

Total DFT energy (no corrections) in eV/atom: -4.050
Total magnetic moment in μB/f.u.: 0.00
ΔE to the lowest computed polymorph in eV per formula unit: 0.19
Formation energy (no corrections) in kcal/mol of atoms: 7.57
Density of states at the Fermi level in states/eV/atom: 0.812


This record from the Alexandria database describes a geometry-optimized TaGaC structure. The functional is PBE.

Unit cell a=3.6713 b=3.6713 c=8.1250 alpha=76.94 beta=76.94 gamma=60.00
With the nearest neighbours (Å) after each atom.
Sites, in units of the cell vectors:
Ta1 0.2863 0.2863 0.1412  4 C 2.12-2.16
C1 0.6220 0.6220 0.1341  4 Ta 2.12-2.16
C2 0.3780 0.3780 0.8659  4 Ta 2.12-2.16
Ta2 0.7137 0.7137 0.8588  4 C 2.12-2.16
Ga1 0.1357 0.1357 0.5928  3 Ga 2.57
Ga2 0.8643 0.8643 0.4072  3 Ga 2.57

Total DFT energy (no corrections) in eV/atom: -7.933
Total magnetic moment in μB/f.u.: 0.00
Density of states at the Fermi level in states/eV/atom: 0.504
ΔH_f (0 K) in eV per atom: 0.10


This record from the Alexandria database describes a geometry-optimized LiOsBr2 structure. The functional is PBE.

Unit cell a=4.6383 b=4.6383 c=4.6383 alpha=60.00 beta=60.00 gamma=60.00
With the nearest neighbours (Å) after each atom.
Sites, in units of the cell vectors:
Br1 0.2500 0.2500 0.2500  4 Os 2.84, 4 Li 2.84
Li1 0.0000 0.0000 0.0000  8 Br 2.84
Br2 0.7500 0.7500 0.7500  4 Os 2.84, 4 Li 2.84
Os1 0.5000 0.5000 0.5000  8 Br 2.84

Total DFT energy (no corrections) in eV/atom: -3.533
Total magnetic moment in μB/f.u.: 0.00
ΔE to the lowest computed polymorph in eV per formula unit: 2.02
Formation energy (no corrections) in kcal/mol of atoms: 13.59
Density of states at the Fermi level in states/eV/atom: 0.985